Record 1
{
  "formula": "Mn2InHg",
  "functional": "PBE-GGA",
  "state": "optimized geometry",
  "crystal_system": "trigonal",
  "magmom_total_mub_per_fu": 4.3,
  "dos_ef_per_ev_atom": 0.76,
  "energy_ev_per_cell": -19.39,
  "sg": "R3m (160)",
  "delta_e_f_ev_per_atom": 0.4963,
  "de_polymorph_ev_per_atom": 0.257,
  "cell": [[1.512, 0.873, 9.030], [-1.512, 0.873, 9.030], [0.000, -1.746, 9.030]],
  "species": ["Mn", "Mn", "In", "Hg"],
  "frac_coords": [[0.000, 0.000, 0.000], [0.271, 0.271, 0.271], [0.524, 0.524, 0.524], [0.752, 0.752, 0.752]]
}

---

Record 2
{
  "formula": "MnIn3Hg",
  "functional": "PBE-GGA",
  "state": "optimized geometry",
  "crystal_system": "cubic",
  "magmom_total_mub_per_fu": 4.7,
  "dos_ef_per_ev_atom": 0.77,
  "energy_ev_per_cell": -13.78,
  "sg": "Pm-3m (221)",
  "delta_e_f_ev_per_atom": 0.7815,
  "de_polymorph_ev_per_atom": 0.539,
  "cell": [[5.510, 0.000, 0.000], [0.000, 5.510, 0.000], [0.000, 0.000, 5.510]],
  "species": ["Mn", "In", "In", "In", "Hg"],
  "frac_coords": [[0.000, 0.000, 0.000], [0.000, 0.500, 0.500], [0.500, 0.000, 0.500], [0.500, 0.500, 0.000], [0.500, 0.500, 0.500]]
}

---

Record 3
{
  "formula": "Mn2InHg",
  "functional": "PBE-GGA",
  "state": "optimized geometry",
  "crystal_system": "tetragonal",
  "magmom_total_mub_per_fu": 7.0,
  "dos_ef_per_ev_atom": 0.91,
  "energy_ev_per_cell": -20.24,
  "sg": "I4/mmm (139)",
  "delta_e_f_ev_per_atom": 0.2851,
  "de_polymorph_ev_per_atom": 0.046,
  "cell": [[-2.138, 2.138, 3.914], [2.138, -2.138, 3.914], [2.138, 2.138, -3.914]],
  "species": ["Mn", "Mn", "In", "Hg"],
  "frac_coords": [[0.250, 0.750, 0.500], [0.750, 0.250, 0.500], [0.000, 0.000, 0.000], [0.500, 0.500, 0.000]]
}

---

Record 4
{
  "formula": "MnIn3Hg",
  "functional": "PBE-GGA",
  "state": "optimized geometry",
  "crystal_system": "cubic",
  "magmom_total_mub_per_fu": 2.0,
  "dos_ef_per_ev_atom": 0.68,
  "energy_ev_per_cell": -16.48,
  "sg": "Pm-3m (221)",
  "delta_e_f_ev_per_atom": 0.2422,
  "de_polymorph_ev_per_atom": 0.000,
  "cell": [[5.158, 0.000, 0.000], [0.000, 5.158, 0.000], [0.000, 0.000, 5.158]],
  "species": ["Mn", "In", "In", "In", "Hg"],
  "frac_coords": [[0.000, 0.000, 0.000], [0.000, 0.000, 0.500], [0.000, 0.500, 0.000], [0.500, 0.000, 0.000], [0.500, 0.500, 0.500]]
}

---

Record 5
{
  "formula": "Mn2InHg",
  "functional": "PBE-GGA",
  "state": "optimized geometry",
  "crystal_system": "orthorhombic",
  "magmom_total_mub_per_fu": 7.1,
  "dos_ef_per_ev_atom": 0.63,
  "energy_ev_per_cell": -20.12,
  "sg": "Imm2 (44)",
  "delta_e_f_ev_per_atom": 0.3147,
  "de_polymorph_ev_per_atom": 0.075,
  "cell": [[-1.624, 2.304, 4.894], [1.624, -2.304, 4.894], [1.624, 2.304, -4.894]],
  "species": ["Mn", "Mn", "In", "Hg"],
  "frac_coords": [[0.000, 0.000, 0.000], [0.773, 0.273, 0.500], [0.262, 0.762, 0.500], [0.528, 0.528, 0.000]]
}

---

Record 6
{
  "formula": "Mn2InHg",
  "functional": "PBE-GGA",
  "state": "optimized geometry",
  "crystal_system": "trigonal",
  "magmom_total_mub_per_fu": 7.3,
  "dos_ef_per_ev_atom": 0.86,
  "energy_ev_per_cell": -19.87,
  "sg": "R-3m (166)",
  "delta_e_f_ev_per_atom": 0.3785,
  "de_polymorph_ev_per_atom": 0.139,
  "cell": [[1.566, 0.904, 8.921], [-1.566, 0.904, 8.921], [0.000, -1.809, 8.921]],
  "species": ["Mn", "Mn", "In", "Hg"],
  "frac_coords": [[0.249, 0.249, 0.249], [0.751, 0.751, 0.751], [0.000, 0.000, 0.000], [0.500, 0.500, 0.500]]
}

---

Record 7
{
  "formula": "MnInHg2",
  "functional": "PBE-GGA",
  "state": "optimized geometry",
  "crystal_system": "orthorhombic",
  "magmom_total_mub_per_fu": 4.0,
  "dos_ef_per_ev_atom": 0.57,
  "energy_ev_per_cell": -11.46,
  "sg": "Cmmm (65)",
  "delta_e_f_ev_per_atom": 0.2635,
  "cell": [[3.011, -3.997, 0.000], [3.011, 3.997, 0.000], [0.000, 0.000, 3.641]],
  "species": ["Mn", "In", "Hg", "Hg"],
  "frac_coords": [[0.000, 0.000, 0.000], [0.500, 0.500, 0.000], [0.000, 0.500, 0.500], [0.500, 0.000, 0.500]]
}

---

Record 8
{
  "formula": "Mn2InHg",
  "functional": "PBE-GGA",
  "state": "optimized geometry",
  "crystal_system": "cubic",
  "magmom_total_mub_per_fu": 7.1,
  "dos_ef_per_ev_atom": 0.88,
  "energy_ev_per_cell": -20.18,
  "sg": "Fm-3m (225)",
  "delta_e_f_ev_per_atom": 0.3001,
  "de_polymorph_ev_per_atom": 0.061,
  "cell": [[0.000, 3.303, 3.303], [3.303, 0.000, 3.303], [3.303, 3.303, 0.000]],
  "species": ["Mn", "Mn", "In", "Hg"],
  "frac_coords": [[0.250, 0.250, 0.250], [0.750, 0.750, 0.750], [0.000, 0.000, 0.000], [0.500, 0.500, 0.500]]
}

---

Record 9
{
  "formula": "Mn4InHg",
  "functional": "PBE-GGA",
  "state": "optimized geometry",
  "crystal_system": "cubic",
  "magmom_total_mub_per_fu": 7.7,
  "dos_ef_per_ev_atom": 1.37,
  "energy_ev_per_cell": -37.01,
  "sg": "F-43m (216)",
  "delta_e_f_ev_per_atom": 0.4508,
  "cell": [[0.000, 3.541, 3.541], [3.541, 0.000, 3.541], [3.541, 3.541, 0.000]],
  "species": ["Mn", "Mn", "Mn", "Mn", "In", "Hg"],
  "frac_coords": [[0.376, 0.376, 0.376], [0.376, 0.376, 0.873], [0.376, 0.873, 0.376], [0.873, 0.376, 0.376], [0.750, 0.750, 0.750], [0.000, 0.000, 0.000]]
}

---

Record 10
{
  "formula": "MnInHg2",
  "functional": "PBE-GGA",
  "state": "optimized geometry",
  "crystal_system": "tetragonal",
  "magmom_total_mub_per_fu": 3.9,
  "dos_ef_per_ev_atom": 0.56,
  "energy_ev_per_cell": -22.53,
  "sg": "I-42d (122)",
  "delta_e_f_ev_per_atom": 0.3120,
  "cell": [[-2.158, 2.158, 10.114], [2.158, -2.158, 10.114], [2.158, 2.158, -10.114]],
  "species": ["Mn", "Mn", "In", "In", "Hg", "Hg", "Hg", "Hg"],
  "frac_coords": [[0.000, 0.000, 0.000], [0.750, 0.250, 0.500], [0.250, 0.750, 0.500], [0.500, 0.500, 0.000], [0.111, 0.625, 0.986], [0.375, 0.361, 0.486], [0.639, 0.125, 0.014], [0.875, 0.889, 0.514]]
}

---

Record 11
{
  "formula": "Mn2InHg",
  "functional": "PBE-GGA",
  "state": "optimized geometry",
  "crystal_system": "monoclinic",
  "magmom_total_mub_per_fu": 7.4,
  "dos_ef_per_ev_atom": 0.76,
  "energy_ev_per_cell": -19.93,
  "sg": "C2/m (12)",
  "delta_e_f_ev_per_atom": 0.3630,
  "de_polymorph_ev_per_atom": 0.124,
  "cell": [[4.644, -1.580, 0.000], [4.644, 1.580, 0.000], [-1.119, 0.000, 5.142]],
  "species": ["Mn", "Mn", "In", "Hg"],
  "frac_coords": [[0.250, 0.250, 0.247], [0.750, 0.750, 0.753], [0.500, 0.500, 0.000], [0.000, 0.000, 0.500]]
}

---

Record 12
{
  "formula": "MnInHg3",
  "functional": "PBE-GGA",
  "state": "optimized geometry",
  "crystal_system": "cubic",
  "magmom_total_mub_per_fu": 3.4,
  "dos_ef_per_ev_atom": 1.09,
  "energy_ev_per_cell": -10.98,
  "sg": "Pm-3m (221)",
  "delta_e_f_ev_per_atom": 0.3673,
  "de_polymorph_ev_per_atom": 0.000,
  "cell": [[5.250, 0.000, 0.000], [0.000, 5.250, 0.000], [0.000, 0.000, 5.250]],
  "species": ["Mn", "In", "Hg", "Hg", "Hg"],
  "frac_coords": [[0.000, 0.000, 0.000], [0.500, 0.500, 0.500], [0.000, 0.000, 0.500], [0.000, 0.500, 0.000], [0.500, 0.000, 0.000]]
}

---

Record 13
{
  "formula": "Mn2InHg",
  "functional": "PBE-GGA",
  "state": "optimized geometry",
  "crystal_system": "tetragonal",
  "magmom_total_mub_per_fu": 7.2,
  "dos_ef_per_ev_atom": 1.01,
  "energy_ev_per_cell": -38.13,
  "sg": "I-42d (122)",
  "delta_e_f_ev_per_atom": 0.5792,
  "de_polymorph_ev_per_atom": 0.340,
  "cell": [[-3.716, 3.716, 2.895], [3.716, -3.716, 2.895], [3.716, 3.716, -2.895]],
  "species": ["Mn", "Mn", "Mn", "Mn", "In", "In", "Hg", "Hg"],
  "frac_coords": [[0.120, 0.625, 0.995], [0.375, 0.370, 0.495], [0.630, 0.125, 0.005], [0.875, 0.880, 0.505], [0.250, 0.750, 0.500], [0.500, 0.500, 0.000], [0.000, 0.000, 0.000], [0.750, 0.250, 0.500]]
}

---

Record 14
{
  "formula": "MnInHg2",
  "functional": "PBE-GGA",
  "state": "optimized geometry",
  "crystal_system": "orthorhombic",
  "magmom_total_mub_per_fu": 4.1,
  "dos_ef_per_ev_atom": 0.42,
  "energy_ev_per_cell": -11.46,
  "sg": "Pmm2 (25)",
  "delta_e_f_ev_per_atom": 0.2622,
  "cell": [[3.458, 0.000, 0.000], [0.000, 4.961, 0.000], [0.000, 0.000, 5.120]],
  "species": ["Mn", "In", "Hg", "Hg"],
  "frac_coords": [[0.000, 0.000, 0.000], [0.500, 0.500, 0.154], [0.000, 0.500, 0.672], [0.500, 0.000, 0.510]]
}

---

Record 15
{
  "formula": "Mn2InHg",
  "functional": "PBE-GGA",
  "state": "optimized geometry",
  "crystal_system": "tetragonal",
  "magmom_total_mub_per_fu": 7.0,
  "dos_ef_per_ev_atom": 0.91,
  "energy_ev_per_cell": -20.08,
  "sg": "I-4m2 (119)",
  "delta_e_f_ev_per_atom": 0.3250,
  "de_polymorph_ev_per_atom": 0.086,
  "cell": [[-1.996, 1.996, 4.551], [1.996, -1.996, 4.551], [1.996, 1.996, -4.551]],
  "species": ["Mn", "Mn", "In", "Hg"],
  "frac_coords": [[0.000, 0.000, 0.000], [0.750, 0.250, 0.500], [0.500, 0.500, 0.000], [0.250, 0.750, 0.500]]
}